Record 1
VASP calculation (PBE-GGA) on a relaxed PmGdCuOs crystal.

abc: 6.985 6.985 6.985
angles: 90.00 90.00 90.00
Space group F-43m (No. 216)
One atom of each set of equivalent atoms:
Pm (0.000, 0.000, 0.000) (multiplicity 4)
Gd (0.000, 0.000, 0.500) (multiplicity 4)
Cu (0.250, 0.250, 0.250) (multiplicity 4)
Os (0.250, 0.250, 0.750) (multiplicity 4)

Summary:
E_form ... -0.6 eV per formula unit
Crystal system ... cubic

***

Record 2
VASP calculation (PBE-GGA) on a relaxed SiIr2Pb crystal.

abc: 3.006 3.343 14.243
angles: 90.00 90.00 90.00
Space group Imm2 (No. 44)
One atom of each set of equivalent atoms:
Si (0.000, 0.000, 0.000) (multiplicity 2)
Ir (0.000, 0.000, 0.432) (multiplicity 2)
Ir (0.000, 0.500, 0.630) (multiplicity 2)
Pb (0.000, 0.500, 0.260) (multiplicity 2)

Summary:
Crystal system ... orthorhombic
E above lowest polymorph ... 0.093 eV/atom
ΔE_f (raw) ... -0.03 eV/atom

***

Record 3
VASP calculation (PBE-GGA) on a relaxed TcSbRu2 crystal.

abc: 9.169 2.943 4.738
angles: 90.00 100.27 90.00
Space group Cm (No. 8)
One atom of each set of equivalent atoms:
Tc (0.000, 0.000, 0.000) (multiplicity 2)
Sb (0.239, 0.000, 0.681) (multiplicity 2)
Ru (0.241, 0.500, 0.176) (multiplicity 2)
Ru (0.489, 0.000, 0.468) (multiplicity 2)

Summary:
Crystal system ... monoclinic
ΔE_f (raw) ... 0.18 eV/atom

***

Record 4
VASP calculation (PBE-GGA) on a relaxed ScV3Cr crystal.

abc: 4.480 4.480 4.480
angles: 90.00 90.00 90.00
Space group Pm-3m (No. 221)
One atom of each set of equivalent atoms:
Sc (0.000, 0.000, 0.000) (multiplicity 1)
V (0.000, 0.000, 0.500) (multiplicity 3)
Cr (0.500, 0.500, 0.500) (multiplicity 1)

Summary:
E_form ... 8.6 eV per formula unit
Crystal system ... cubic
E above lowest polymorph ... 1.117 eV/atom

***

Record 5
VASP calculation (PBE-GGA) on a relaxed Mg2Zn3Ag8 crystal.

abc: 12.066 7.435 5.527
angles: 90.00 100.61 90.00
Space group C2/m (No. 12)
One atom of each set of equivalent atoms:
Mg (0.216, 0.000, 0.270) (multiplicity 4)
Zn (0.000, 0.000, 0.000) (multiplicity 2)
Zn (0.000, 0.175, 0.500) (multiplicity 4)
Ag (0.090, 0.500, 0.383) (multiplicity 4)
Ag (0.115, 0.312, 0.943) (multiplicity 8)
Ag (0.193, 0.000, 0.749) (multiplicity 4)

Summary:
E_form ... 0.2 eV per formula unit
Crystal system ... monoclinic
E above lowest polymorph ... 0.000 eV/atom

***

Record 6
VASP calculation (PBE-GGA) on a relaxed PuAg4Ge crystal.

abc: 7.912 7.912 7.912
angles: 90.00 90.00 90.00
Space group F-43m (No. 216)
One atom of each set of equivalent atoms:
Pu (0.000, 0.000, 0.000) (multiplicity 4)
Ag (0.125, 0.125, 0.625) (multiplicity 16)
Ge (0.250, 0.250, 0.250) (multiplicity 4)

Summary:
E_form ... 0.3 eV per formula unit
Crystal system ... cubic

***

Record 7
VASP calculation (PBE-GGA) on a relaxed Pm3Sm6Tm2Sc crystal.

abc: 6.218 10.768 11.811
angles: 90.00 100.08 90.00
Space group C2/m (No. 12)
One atom of each set of equivalent atoms:
Pm (0.000, 0.000, 0.000) (multiplicity 2)
Pm (0.000, 0.333, 0.000) (multiplicity 4)
Sm (0.246, 0.335, 0.743) (multiplicity 8)
Sm (0.250, 0.000, 0.743) (multiplicity 4)
Tm (0.000, 0.167, 0.500) (multiplicity 4)
Sc (0.000, 0.500, 0.500) (multiplicity 2)

Summary:
E_form ... 0.4 eV per formula unit
Crystal system ... monoclinic

***

Record 8
VASP calculation (PBE-GGA) on a relaxed La6Au3C crystal.

abc: 6.924 7.941 12.777
angles: 90.00 122.51 90.00
Space group P2_1/c (No. 14)
One atom of each set of equivalent atoms:
La (0.089, 0.044, 0.227) (multiplicity 4)
La (0.208, 0.710, 0.064) (multiplicity 4)
La (0.373, 0.160, 0.063) (multiplicity 4)
Au (0.300, 0.103, 0.740) (multiplicity 4)
Au (0.500, 0.000, 0.500) (multiplicity 2)
C (0.000, 0.000, 0.000) (multiplicity 2)

Summary:
E_form ... -5.0 eV per formula unit
Crystal system ... monoclinic

***

Record 9
VASP calculation (PBE-GGA) on a relaxed LiLaYZn crystal.

abc: 7.440 7.440 7.440
angles: 90.00 90.00 90.00
Space group F-43m (No. 216)
One atom of each set of equivalent atoms:
Li (0.000, 0.000, 0.000) (multiplicity 4)
La (0.250, 0.250, 0.750) (multiplicity 4)
Y (0.250, 0.250, 0.250) (multiplicity 4)
Zn (0.000, 0.000, 0.500) (multiplicity 4)

Summary:
E_form ... -0.5 eV per formula unit
Crystal system ... cubic

***

Record 10
VASP calculation (PBE-GGA) on a relaxed BeAlAs3 crystal.

abc: 4.515 4.515 4.515
angles: 90.00 90.00 90.00
Space group Pm-3m (No. 221)
One atom of each set of equivalent atoms:
Be (0.000, 0.000, 0.000) (multiplicity 1)
Al (0.500, 0.500, 0.500) (multiplicity 1)
As (0.000, 0.000, 0.500) (multiplicity 3)

Summary:
E_form ... 2.6 eV per formula unit
Crystal system ... cubic
E above lowest polymorph ... 0.000 eV/atom

***

Record 11
VASP calculation (PBE-GGA) on a relaxed ReP2Br crystal.

abc: 2.986 5.138 9.615
angles: 90.00 90.00 90.00
Space group Cmm2 (No. 35)
One atom of each set of equivalent atoms:
Re (0.000, 0.000, 0.000) (multiplicity 2)
P (0.000, 0.000, 0.395) (multiplicity 2)
P (0.000, 0.500, 0.186) (multiplicity 2)
Br (0.000, 0.500, 0.760) (multiplicity 2)

Summary:
Crystal system ... orthorhombic
E above lowest polymorph ... 0.740 eV/atom
ΔE_f (raw) ... 0.77 eV/atom

***

Record 12
VASP calculation (PBE-GGA) on a relaxed Hf3ZrIr crystal.

abc: 5.009 5.009 5.009
angles: 90.00 90.00 90.00
Space group Pm-3m (No. 221)
One atom of each set of equivalent atoms:
Hf (0.000, 0.000, 0.500) (multiplicity 3)
Zr (0.500, 0.500, 0.500) (multiplicity 1)
Ir (0.000, 0.000, 0.000) (multiplicity 1)

Summary:
E_form ... 1.1 eV per formula unit
Crystal system ... cubic
E above lowest polymorph ... 0.605 eV/atom

***

Record 13
VASP calculation (PBE-GGA) on a relaxed LaPmDyY2 crystal.

abc: 3.633 5.626 8.720
angles: 90.00 90.00 90.00
Space group Pmmm (No. 47)
One atom of each set of equivalent atoms:
La (0.000, 0.000, 0.000) (multiplicity 1)
Pm (0.500, 0.000, 0.500) (multiplicity 1)
Dy (0.500, 0.500, 0.000) (multiplicity 1)
Y (0.000, 0.500, 0.318) (multiplicity 2)

Summary:
E_form ... 1.2 eV per formula unit
Crystal system ... orthorhombic

***

Record 14
VASP calculation (PBE-GGA) on a relaxed AlCu2W crystal.

abc: 2.783 2.783 6.972
angles: 90.00 90.00 90.00
Space group P4/mmm (No. 123)
One atom of each set of equivalent atoms:
Al (0.000, 0.000, 0.000) (multiplicity 1)
Cu (0.500, 0.500, 0.230) (multiplicity 2)
W (0.000, 0.000, 0.500) (multiplicity 1)

Summary:
E_form ... 0.2 eV per formula unit
Crystal system ... tetragonal

***

Record 15
VASP calculation (PBE-GGA) on a relaxed Li2Si2Pd3 crystal.

abc: 4.182 4.215 7.195
angles: 106.61 90.25 119.53
Space group P-1 (No. 2)
One atom of each set of equivalent atoms:
Li (0.134, 0.268, 0.402) (multiplicity 2)
Si (0.402, 0.803, 0.200) (multiplicity 2)
Pd (0.000, 0.000, 0.000) (multiplicity 1)
Pd (0.269, 0.538, 0.807) (multiplicity 2)

Summary:
Crystal system ... triclinic
E above lowest polymorph ... 0.000 eV/atom
ΔE_f (raw) ... -0.55 eV/atom

***

Record 16
VASP calculation (PBE-GGA) on a relaxed Ho3As2Rh9Au crystal.

abc: 5.5222 5.5222 11.3471
angles: 90.00 90.00 120.00
Space group P-3m1 (No. 164)
One atom of each set of equivalent atoms:
Ho (0.0000, 0.0000, 0.0000) (multiplicity 1)
Ho (0.3333, 0.6667, 0.5795) (multiplicity 2)
As (0.3333, 0.6667, 0.1606) (multiplicity 2)
Rh (0.0000, 0.5000, 0.0000) (multiplicity 3)
Rh (0.1620, 0.3240, 0.3114) (multiplicity 6)
Au (0.0000, 0.0000, 0.5000) (multiplicity 1)

Summary:
E_form ... -4.8 eV per formula unit
Crystal system ... trigonal

***

Record 17
VASP calculation (PBE-GGA) on a relaxed Tb3Pr3Si4 crystal.

abc: 4.377 10.870 10.730
angles: 90.00 90.00 90.00
Space group Amm2 (No. 38)
One atom of each set of equivalent atoms:
Tb (0.000, 0.000, 0.000) (multiplicity 2)
Tb (0.500, 0.249, 0.573) (multiplicity 4)
Pr (0.000, 0.000, 0.647) (multiplicity 2)
Pr (0.000, 0.178, 0.321) (multiplicity 4)
Si (0.500, 0.000, 0.203) (multiplicity 2)
Si (0.500, 0.000, 0.433) (multiplicity 2)
Si (0.500, 0.112, 0.828) (multiplicity 4)

Summary:
Crystal system ... orthorhombic
ΔE_f (raw) ... -0.67 eV/atom

***

Record 18
VASP calculation (PBE-GGA) on a relaxed Ba2Li3CdAu4 crystal.

abc: 4.680 4.680 11.171
angles: 90.00 90.00 90.00
Space group P-4m2 (No. 115)
One atom of each set of equivalent atoms:
Ba (0.000, 0.500, 0.237) (multiplicity 2)
Li (0.000, 0.500, 0.892) (multiplicity 2)
Li (0.500, 0.500, 0.500) (multiplicity 1)
Cd (0.000, 0.000, 0.500) (multiplicity 1)
Au (0.000, 0.000, 0.000) (multiplicity 1)
Au (0.000, 0.500, 0.649) (multiplicity 2)
Au (0.500, 0.500, 0.000) (multiplicity 1)

Summary:
E_form ... -5.6 eV per formula unit
Crystal system ... tetragonal

***

Record 19
VASP calculation (PBE-GGA) on a relaxed Pa2FeHg crystal.

abc: 3.6424 3.6424 24.5374
angles: 90.00 90.00 120.00
Space group R3m (No. 160, hexagonal axes)
One atom of each set of equivalent atoms:
Pa (0.0000, 0.0000, 0.0000) (multiplicity 3)
Pa (0.0000, 0.0000, 0.2079) (multiplicity 3)
Fe (0.0000, 0.0000, 0.6075) (multiplicity 3)
Hg (0.0000, 0.0000, 0.4358) (multiplicity 3)

Summary:
E_form ... -0.1 eV per formula unit
Crystal system ... trigonal
E above lowest polymorph ... 0.067 eV/atom

***

Record 20
VASP calculation (PBE-GGA) on a relaxed ThPaRe2 crystal.

abc: 7.046 7.046 7.046
angles: 90.00 90.00 90.00
Space group Fm-3m (No. 225)
One atom of each set of equivalent atoms:
Th (0.000, 0.000, 0.000) (multiplicity 4)
Pa (0.000, 0.000, 0.500) (multiplicity 4)
Re (0.250, 0.250, 0.250) (multiplicity 8)

Summary:
E_form ... 0.6 eV per formula unit
Crystal system ... cubic
E above lowest polymorph ... 0.007 eV/atom

***

| no. | energy (eV per atom) |
| --- | --- |
| 1 | -8.689 |
| 2 | -6.740 |
| 3 | -8.076 |
| 4 | -6.946 |
| 5 | -2.281 |
| 6 | -5.012 |
| 7 | -4.790 |
| 8 | -5.361 |
| 9 | -3.758 |
| 10 | -3.755 |
| 11 | -5.466 |
| 12 | -9.232 |
| 13 | -5.196 |
| 14 | -6.178 |
| 15 | -4.876 |
| 16 | -6.486 |
| 17 | -5.664 |
| 18 | -2.921 |
| 19 | -6.953 |
| 20 | -10.294 |